(1)
Density functional theory data (GGA-PBEsol) for a geometry-optimized YCr2Cu structure.

The calculation puts the total energy at -29.04 eV/cell. The distance to the lowest polymorph of the same formula is 0 meV/atom. The calculated formation energy is 0.650 eV/atom.

The space group is P4/mmm (No. 123) and the conventional cell measures 4.0312, 4.0312 and 4.1737 Å, with angles of 90.00, 90.00 and 90.00 degrees. The asymmetric unit holds Y at (0.0000, 0.0000, 0.0000), Cr at (0.0000, 0.5000, 0.5000) and Cu at (0.5000, 0.5000, 0.0000).

---

(2)
Density functional theory data (GGA-PBEsol) for a geometry-optimized Zn3CrCu structure.

The calculation puts the total energy at -13.39 eV/cell. The calculated formation energy is 1.185 eV/atom.

The space group is Pm-3m (No. 221) and the conventional cell measures 4.6833, 4.6833 and 4.6833 Å, with angles of 90.00, 90.00 and 90.00 degrees. The asymmetric unit holds Zn at (0.0000, 0.0000, 0.5000), Cr at (0.0000, 0.0000, 0.0000) and Cu at (0.5000, 0.5000, 0.5000).